Computed, not measured: Cs2HO after structural relaxation at the PBE level of DFT.

CIF file:
```
data_Cs2HO
_chemical_formula_sum 'Cs8 H4 O4'
_symmetry_space_group_name_H-M 'F m -3 m'
_symmetry_Int_Tables_number 225
_symmetry_space_group_name_Hall '-F 4 2 3'
_cell_length_a 7.504
_cell_length_b 7.504
_cell_length_c 7.504
_cell_angle_alpha 90.00
_cell_angle_beta 90.00
_cell_angle_gamma 90.00
loop_
_atom_site_label
_atom_site_fract_x
_atom_site_fract_y
_atom_site_fract_z
Cs1 0.250 0.250 0.250
H1 0.000 0.000 0.000
O1 0.000 0.000 0.500
```

Distance to the lowest polymorph of the same formula   0.05 eV/f.u.
Final energy   -2.83 eV/atom



Computed, not measured: CsHO after structural relaxation at the PBE level of DFT.

CIF file:
```
data_CsHO
_chemical_formula_sum 'Cs2 H2 O2'
_symmetry_space_group_name_H-M 'I 4 m m'
_symmetry_Int_Tables_number 107
_symmetry_space_group_name_Hall 'I 4 -2'
_cell_length_a 4.473
_cell_length_b 4.473
_cell_length_c 6.870
_cell_angle_alpha 90.00
_cell_angle_beta 90.00
_cell_angle_gamma 90.00
loop_
_atom_site_label
_atom_site_fract_x
_atom_site_fract_y
_atom_site_fract_z
Cs1 0.000 0.000 0.000
H1 0.000 0.000 0.555
O1 0.000 0.000 0.413
```

Final energy   -4.32 eV/atom



Computed, not measured: Cs2HO after structural relaxation at the PBE level of DFT.

CIF file:
```
data_Cs2HO
_chemical_formula_sum 'Cs8 H4 O4'
_symmetry_space_group_name_H-M 'C m c m'
_symmetry_Int_Tables_number 63
_symmetry_space_group_name_Hall '-C 2c 2'
_cell_length_a 3.860
_cell_length_b 15.617
_cell_length_c 7.499
_cell_angle_alpha 90.00
_cell_angle_beta 90.00
_cell_angle_gamma 90.00
loop_
_atom_site_label
_atom_site_fract_x
_atom_site_fract_y
_atom_site_fract_z
Cs1 0.000 0.117 0.002
H1 0.000 0.276 0.750
O1 0.000 0.483 0.250
```

Distance to the lowest polymorph of the same formula   0.02 eV/f.u.
Final energy   -2.83 eV/atom



Computed, not measured: Cs4HO after structural relaxation at the PBE level of DFT.

CIF file:
```
data_Cs4HO
_chemical_formula_sum 'Cs16 H4 O4'
_symmetry_space_group_name_H-M 'C m c 21'
_symmetry_Int_Tables_number 36
_cell_length_a 5.034
_cell_length_b 31.149
_cell_length_c 7.861
_cell_angle_alpha 90.00
_cell_angle_beta 90.00
_cell_angle_gamma 90.00
loop_
_symmetry_equiv_pos_as_xyz
'x,y,z'
'-x,-y,z+1/2'
'-x,y,z'
'x,-y,z+1/2'
'x+1/2,y+1/2,z'
'-x+1/2,-y+1/2,z+1/2'
'-x+1/2,y+1/2,z'
'x+1/2,-y+1/2,z+1/2'
loop_
_atom_site_label
_atom_site_fract_x
_atom_site_fract_y
_atom_site_fract_z
Cs1 0.000 0.048 0.000
Cs2 0.000 0.165 0.789
Cs3 0.000 0.214 0.272
Cs4 0.000 0.382 0.796
H1 0.000 0.290 0.011
O1 0.000 0.134 0.109
```

Final energy   -2.48 eV/atom



Computed, not measured: Cs3H3O2 after structural relaxation at the PBE level of DFT.

CIF file:
```
data_Cs3H3O2
_chemical_formula_sum 'Cs6 H6 O4'
_symmetry_space_group_name_H-M 'C 1 2/m 1'
_symmetry_Int_Tables_number 12
_cell_length_a 18.694
_cell_length_b 4.248
_cell_length_c 4.701
_cell_angle_alpha 90.00
_cell_angle_beta 97.58
_cell_angle_gamma 90.00
loop_
_symmetry_equiv_pos_as_xyz
'x,y,z'
'-x,-y,-z'
'-x,y,-z'
'x,-y,z'
'x+1/2,y+1/2,z'
'-x+1/2,-y+1/2,-z'
'-x+1/2,y+1/2,-z'
'x+1/2,-y+1/2,z'
loop_
_atom_site_label
_atom_site_fract_x
_atom_site_fract_y
_atom_site_fract_z
Cs1 0.000 0.000 0.000
Cs2 0.180 0.000 0.711
H1 0.000 0.500 0.500
H2 0.114 0.500 0.274
O1 0.159 0.500 0.192
```

Final energy   -3.80 eV/atom



Computed, not measured: Cs4H2O after structural relaxation at the PBE level of DFT.

CIF file:
```
data_Cs4H2O
_chemical_formula_sum 'Cs8 H4 O2'
_symmetry_space_group_name_H-M 'I 4/m m m'
_symmetry_Int_Tables_number 139
_symmetry_space_group_name_Hall '-I 4 2'
_cell_length_a 5.827
_cell_length_b 5.827
_cell_length_c 16.634
_cell_angle_alpha 90.00
_cell_angle_beta 90.00
_cell_angle_gamma 90.00
loop_
_atom_site_label
_atom_site_fract_x
_atom_site_fract_y
_atom_site_fract_z
Cs1 0.000 0.000 0.167
Cs2 0.000 0.500 0.000
H1 0.000 0.000 0.364
O1 0.000 0.000 0.000
```

Final energy   -2.58 eV/atom



Computed, not measured: CsH3O after structural relaxation at the PBE level of DFT.

CIF file:
```
data_CsH3O
_chemical_formula_sum 'Cs1 H3 O1'
_symmetry_space_group_name_H-M 'P m -3 m'
_symmetry_Int_Tables_number 221
_symmetry_space_group_name_Hall '-P 4 2 3'
_cell_length_a 3.805
_cell_length_b 3.805
_cell_length_c 3.805
_cell_angle_alpha 90.00
_cell_angle_beta 90.00
_cell_angle_gamma 90.00
loop_
_atom_site_label
_atom_site_fract_x
_atom_site_fract_y
_atom_site_fract_z
Cs1 0.000 0.000 0.000
H1 0.000 0.500 0.500
O1 0.500 0.500 0.500
```

Distance to the lowest polymorph of the same formula   4.21 eV/f.u.
Final energy   -2.50 eV/atom



Computed, not measured: Cs2HO after structural relaxation at the PBE level of DFT.

CIF file:
```
data_Cs2HO
_chemical_formula_sum 'Cs2 H1 O1'
_symmetry_space_group_name_H-M 'P 4/m m m'
_symmetry_Int_Tables_number 123
_symmetry_space_group_name_Hall '-P 4 2'
_cell_length_a 5.359
_cell_length_b 5.359
_cell_length_c 3.701
_cell_angle_alpha 90.00
_cell_angle_beta 90.00
_cell_angle_gamma 90.00
loop_
_atom_site_label
_atom_site_fract_x
_atom_site_fract_y
_atom_site_fract_z
Cs1 0.000 0.500 0.000
H1 0.000 0.000 0.500
O1 0.500 0.500 0.500
```

Distance to the lowest polymorph of the same formula   0.00 eV/f.u.
Final energy   -2.84 eV/atom



Computed, not measured: Cs2H6O3 after structural relaxation at the PBE level of DFT.

CIF file:
```
data_Cs2H6O3
_chemical_formula_sum 'Cs2 H6 O3'
_symmetry_space_group_name_H-M 'P -6 2 m'
_symmetry_Int_Tables_number 189
_symmetry_space_group_name_Hall 'P -6 -2'
_cell_length_a 6.4364
_cell_length_b 6.4364
_cell_length_c 3.7162
_cell_angle_alpha 90.00
_cell_angle_beta 90.00
_cell_angle_gamma 120.00
loop_
_atom_site_label
_atom_site_fract_x
_atom_site_fract_y
_atom_site_fract_z
Cs1 0.3333 0.6667 0.0000
H1 0.0000 0.1445 0.5000
H2 0.0000 0.9175 0.0000
O1 0.0000 0.7789 0.5000
```

Final energy   -3.93 eV/atom



Computed, not measured: Cs8HO2 after structural relaxation at the PBE level of DFT.

CIF file:
```
data_Cs8HO2
_chemical_formula_sum 'Cs16 H2 O4'
_symmetry_space_group_name_H-M 'C 1 2/m 1'
_symmetry_Int_Tables_number 12
_cell_length_a 14.749
_cell_length_b 13.564
_cell_length_c 7.863
_cell_angle_alpha 90.00
_cell_angle_beta 92.63
_cell_angle_gamma 90.00
loop_
_symmetry_equiv_pos_as_xyz
'x,y,z'
'-x,-y,-z'
'-x,y,-z'
'x,-y,z'
'x+1/2,y+1/2,z'
'-x+1/2,-y+1/2,-z'
'-x+1/2,y+1/2,-z'
'x+1/2,-y+1/2,z'
loop_
_atom_site_label
_atom_site_fract_x
_atom_site_fract_y
_atom_site_fract_z
Cs1 0.109 0.154 0.278
Cs2 0.131 0.500 0.767
Cs3 0.185 0.000 0.800
H1 0.000 0.000 0.500
O1 0.193 0.000 0.138
```

Final energy   -2.40 eV/atom



Computed, not measured: CsH3O2 after structural relaxation at the PBE level of DFT.

CIF file:
```
data_CsH3O2
_chemical_formula_sum 'Cs2 H6 O4'
_symmetry_space_group_name_H-M 'P -1'
_symmetry_Int_Tables_number 2
_cell_length_a 4.804
_cell_length_b 6.118
_cell_length_c 6.577
_cell_angle_alpha 75.23
_cell_angle_beta 88.77
_cell_angle_gamma 87.46
loop_
_symmetry_equiv_pos_as_xyz
'x,y,z'
'-x,-y,-z'
loop_
_atom_site_label
_atom_site_fract_x
_atom_site_fract_y
_atom_site_fract_z
Cs1 0.238 0.246 0.272
H1 0.036 0.808 0.170
H2 0.235 0.884 0.967
H3 0.403 0.162 0.777
O1 0.217 0.760 0.104
O2 0.243 0.082 0.747
```

Final energy   -4.70 eV/atom



Computed, not measured: CsHO after structural relaxation at the PBE level of DFT.

CIF file:
```
data_CsHO
_chemical_formula_sum 'Cs2 H2 O2'
_symmetry_space_group_name_H-M 'P m m n'
_symmetry_Int_Tables_number 59
_cell_length_a 4.977
_cell_length_b 6.275
_cell_length_c 4.507
_cell_angle_alpha 90.00
_cell_angle_beta 90.00
_cell_angle_gamma 90.00
loop_
_symmetry_equiv_pos_as_xyz
'x,y,z'
'-x,-y,-z'
'-x+1/2,-y+1/2,z'
'x+1/2,y+1/2,-z'
'x+1/2,-y,-z'
'-x+1/2,y,z'
'-x,y+1/2,-z'
'x,-y+1/2,z'
loop_
_atom_site_label
_atom_site_fract_x
_atom_site_fract_y
_atom_site_fract_z
Cs1 0.250 0.250 0.160
H1 0.250 0.750 0.426
O1 0.250 0.750 0.210
```

Final energy   -4.33 eV/atom



no.,total magnetization (μB per atom)
1,0.250
2,0.000
3,0.250
4,0.000
5,0.000
6,0.000
7,0.000
8,0.251
9,0.011
10,0.000
11,0.013
12,0.000